(1)
Here is La4CoI6 after structural relaxation from Alexandria via LeMat-Bulk. Energies are from PBE.

Lattice parameters (Å, degrees): 10.6662 10.6662 8.2178 90.00 90.00 120.00
With the nearest neighbours (Å) after each atom.
Atoms (fractional coordinates):
La: 0.2060 0.4120 0.0000  1 Co 2.44
La: 0.2060 0.7940 0.0000  1 Co 2.44
La: 0.3333 0.6667 0.5862  1 Co 2.74
La: 0.4120 0.2060 0.5000  1 Co 2.44
La: 0.5880 0.7940 0.0000  1 Co 2.44
La: 0.6667 0.3333 0.0862  1 Co 2.74
La: 0.7940 0.2060 0.5000  1 Co 2.44
La: 0.7940 0.5880 0.5000  1 Co 2.44
Co: 0.3333 0.6667 0.9193  4 La 2.44-2.74
Co: 0.6667 0.3333 0.4193  4 La 2.44-2.74
I: 0.0667 0.5334 0.3070  5 La 3.37-3.61
I: 0.1408 0.2816 0.6195  4 La 3.35-3.57
I: 0.1408 0.8592 0.6195  4 La 3.35-3.57
I: 0.2816 0.1408 0.1195  4 La 3.35-3.57
I: 0.4666 0.5334 0.3070  5 La 3.37-3.61
I: 0.4666 0.9333 0.3070  5 La 3.37-3.61
I: 0.5334 0.0667 0.8070  5 La 3.37-3.61
I: 0.5334 0.4666 0.8070  5 La 3.37-3.61
I: 0.7184 0.8592 0.6195  4 La 3.35-3.57
I: 0.8592 0.1408 0.1195  4 La 3.35-3.57
I: 0.8592 0.7184 0.1195  4 La 3.35-3.57
I: 0.9333 0.4666 0.8070  5 La 3.37-3.61

Fermi-level density of states: 0.67 states/eV per atom
formation energy (no corrections): -12.11 eV/f.u.
SG: P6_3mc
volume: 809.7 Å³ per cell

(2)
Here is LaCo3I after structural relaxation from Alexandria via LeMat-Bulk. Energies are from PBE.

Lattice parameters (Å, degrees): 4.7734 4.7734 4.7734 90.00 90.00 90.00
With the nearest neighbours (Å) after each atom.
Atoms (fractional coordinates):
La: 0.0000 0.0000 0.0000  6 Co 2.39
Co: 0.0000 0.0000 0.5000  2 La 2.39
Co: 0.0000 0.5000 0.0000  2 La 2.39
Co: 0.5000 0.0000 0.0000  2 La 2.39
I: 0.5000 0.5000 0.5000  12 Co 3.38

Fermi-level density of states: 1.64 states/eV per atom
formation energy (no corrections): 7.47 eV/f.u.
energy relative to the lowest polymorph listed for this composition: 0.745 eV per atom
SG: Pm-3m
volume: 108.8 Å³ per cell

(3)
Here is La5Co2I2 after structural relaxation from Alexandria via LeMat-Bulk. Energies are from PBE.

Lattice parameters (Å, degrees): 9.2320 9.2320 8.6116 90.00 90.00 47.59
With the nearest neighbours (Å) after each atom.
Atoms (fractional coordinates):
La: 0.0000 0.0000 0.0000  2 Co 2.68
La: 0.0314 0.7575 0.6658  3 Co 2.91-3.01
La: 0.2425 0.9686 0.6658  3 Co 2.91-3.01
La: 0.2575 0.5314 0.1658  3 Co 2.91-3.01
La: 0.4686 0.7425 0.1658  3 Co 2.91-3.01
La: 0.5000 0.5000 0.5000  2 Co 2.68
La: 0.5314 0.2575 0.8342  3 Co 2.91-3.01
La: 0.7425 0.4686 0.8342  3 Co 2.91-3.01
La: 0.7575 0.0314 0.3342  3 Co 2.91-3.01
La: 0.9686 0.2425 0.3342  3 Co 2.91-3.01
Co: 0.1644 0.8356 0.3893  5 La 2.68-2.98
Co: 0.3356 0.6644 0.8893  5 La 2.68-2.98
Co: 0.6644 0.3356 0.1107  5 La 2.68-2.98
Co: 0.8356 0.1644 0.6107  5 La 2.68-2.98
I: 0.2069 0.2069 0.0000  7 La 3.49-3.62
I: 0.2931 0.2931 0.5000  7 La 3.49-3.62
I: 0.7069 0.7069 0.5000  7 La 3.49-3.62
I: 0.7931 0.7931 0.0000  7 La 3.49-3.62

Fermi-level density of states: 0.88 states/eV per atom
formation energy (no corrections): -4.69 eV/f.u.
SG: Cmce
volume: 541.9 Å³ per cell

(4)
Here is LaCo2I after structural relaxation from Alexandria via LeMat-Bulk. Energies are from PBE.

Lattice parameters (Å, degrees): 6.8103 6.8103 6.8103 90.00 90.00 90.00
With the nearest neighbours (Å) after each atom.
Atoms (fractional coordinates):
La: 0.0000 0.0000 0.0000  8 Co 2.95
La: 0.0000 0.5000 0.5000  8 Co 2.95
La: 0.5000 0.0000 0.5000  8 Co 2.95
La: 0.5000 0.5000 0.0000  8 Co 2.95
Co: 0.2500 0.2500 0.2500  4 La 2.95, 4 I 2.95
Co: 0.2500 0.2500 0.7500  4 La 2.95, 4 I 2.95
Co: 0.2500 0.7500 0.2500  4 La 2.95, 4 I 2.95
Co: 0.2500 0.7500 0.7500  4 La 2.95, 4 I 2.95
Co: 0.7500 0.2500 0.2500  4 La 2.95, 4 I 2.95
Co: 0.7500 0.2500 0.7500  4 La 2.95, 4 I 2.95
Co: 0.7500 0.7500 0.2500  4 La 2.95, 4 I 2.95
Co: 0.7500 0.7500 0.7500  4 La 2.95, 4 I 2.95
I: 0.0000 0.0000 0.5000  8 Co 2.95
I: 0.0000 0.5000 0.0000  8 Co 2.95
I: 0.5000 0.0000 0.0000  8 Co 2.95
I: 0.5000 0.5000 0.5000  8 Co 2.95

Fermi-level density of states: 1.53 states/eV per atom
formation energy (no corrections): 1.66 eV/f.u.
energy relative to the lowest polymorph listed for this composition: 0.156 eV per atom
SG: Fm-3m
volume: 315.9 Å³ per cell

(5)
Here is La2CoI after structural relaxation from Alexandria via LeMat-Bulk. Energies are from PBE.

Lattice parameters (Å, degrees): 7.7840 7.7840 8.3606 90.00 90.00 90.00
With the nearest neighbours (Å) after each atom.
Atoms (fractional coordinates):
La: 0.1676 0.7500 0.1250  2 Co 2.57
La: 0.2500 0.1676 0.8750  2 Co 2.57
La: 0.2500 0.3324 0.3750  2 Co 2.57
La: 0.3324 0.7500 0.6250  2 Co 2.57
La: 0.6676 0.2500 0.6250  2 Co 2.57
La: 0.7500 0.6676 0.3750  2 Co 2.57
La: 0.7500 0.8324 0.8750  2 Co 2.57
La: 0.8324 0.2500 0.1250  2 Co 2.57
Co: 0.0000 0.0000 0.0000  4 La 2.57
Co: 0.0000 0.5000 0.2500  4 La 2.57
Co: 0.5000 0.0000 0.7500  4 La 2.57
Co: 0.5000 0.5000 0.5000  4 La 2.57
I: 0.0000 0.0000 0.5000  4 La 3.40
I: 0.0000 0.5000 0.7500  4 La 3.40
I: 0.5000 0.0000 0.2500  4 La 3.40
I: 0.5000 0.5000 0.0000  4 La 3.40

Fermi-level density of states: 0.82 states/eV per atom
formation energy (no corrections): -1.52 eV/f.u.
energy relative to the lowest polymorph listed for this composition: 0.304 eV per atom
SG: I-42d
volume: 506.6 Å³ per cell

(6)
Here is LaCo2I2 after structural relaxation from Alexandria via LeMat-Bulk. Energies are from PBE.

Lattice parameters (Å, degrees): 4.0738 4.0738 12.8918 90.00 90.00 90.00
With the nearest neighbours (Å) after each atom.
Atoms (fractional coordinates):
La: 0.0000 0.0000 0.0000  8 I 3.36
La: 0.5000 0.5000 0.5000  8 I 3.36
Co: 0.0000 0.5000 0.2500  4 I 2.53
Co: 0.0000 0.5000 0.7500  4 I 2.53
Co: 0.5000 0.0000 0.2500  4 I 2.53
Co: 0.5000 0.0000 0.7500  4 I 2.53
I: 0.0000 0.0000 0.3661  4 Co 2.53
I: 0.0000 0.0000 0.6339  4 Co 2.53
I: 0.5000 0.5000 0.1339  4 Co 2.53
I: 0.5000 0.5000 0.8661  4 Co 2.53

Fermi-level density of states: 0.55 states/eV per atom
formation energy (no corrections): 0.17 eV/f.u.
energy relative to the lowest polymorph listed for this composition: 0.000 eV per atom
SG: I4/mmm
volume: 214.0 Å³ per cell

(7)
Here is LaCo3I after structural relaxation from Alexandria via LeMat-Bulk. Energies are from PBE.

Lattice parameters (Å, degrees): 4.6691 4.6691 4.6691 90.00 90.00 90.00
With the nearest neighbours (Å) after each atom.
Atoms (fractional coordinates):
La: 0.0000 0.0000 0.0000  12 Co 3.30
Co: 0.0000 0.5000 0.5000  2 I 2.33
Co: 0.5000 0.0000 0.5000  2 I 2.33
Co: 0.5000 0.5000 0.0000  2 I 2.33
I: 0.5000 0.5000 0.5000  6 Co 2.33

Fermi-level density of states: 2.02 states/eV per atom
formation energy (no corrections): 3.75 eV/f.u.
energy relative to the lowest polymorph listed for this composition: 0.000 eV per atom
SG: Pm-3m
volume: 101.8 Å³ per cell

(8)
Here is La2CoI after structural relaxation from Alexandria via LeMat-Bulk. Energies are from PBE.

Lattice parameters (Å, degrees): 4.1238 4.1238 24.7261 90.00 90.00 120.00
With the nearest neighbours (Å) after each atom.
Atoms (fractional coordinates):
La: 0.0000 0.0000 0.2272  3 Co 2.81
La: 0.0000 0.0000 0.7728  3 Co 2.81
La: 0.3333 0.6667 0.4395  3 Co 2.81
La: 0.3333 0.6667 0.8938  3 Co 2.81
La: 0.6667 0.3333 0.1062  3 Co 2.81
La: 0.6667 0.3333 0.5605  3 Co 2.81
Co: 0.0000 0.0000 0.5000  6 La 2.81
Co: 0.3333 0.6667 0.1667  6 La 2.81
Co: 0.6667 0.3333 0.8333  6 La 2.81
I: 0.0000 0.0000 0.0000  6 La 3.54
I: 0.3333 0.6667 0.6667  6 La 3.54
I: 0.6667 0.3333 0.3333  6 La 3.54

Fermi-level density of states: 0.32 states/eV per atom
formation energy (no corrections): -2.74 eV/f.u.
energy relative to the lowest polymorph listed for this composition: 0.000 eV per atom
SG: R-3m
volume: 364.2 Å³ per cell